Entry from the Alexandria database: a relaxed structure of Sr2GaCuAu6 (PBE).

abc: 5.8191 6.9750 7.0640
angles: 84.88 65.90 65.45
Space group P-1 (No. 2)
Symmetry-distinct sites (fractional):
Sr 0.0407 0.2152 0.2011 (multiplicity 2)
Ga 0.5000 0.0000 0.5000 (multiplicity 1)
Cu 0.5000 0.5000 0.0000 (multiplicity 1)
Au 0.0016 0.7436 0.2609 (multiplicity 2)
Au 0.3720 0.3797 0.3750 (multiplicity 2)
Au 0.4933 0.7442 0.2604 (multiplicity 2)

The raw total energy is -3.46 eV/atom. The magnetization is 0.00 μB per atom.